[1]
Density functional theory data (PBE-GGA) for an optimized crystal structure of Y2Er7Th2.

Lattice parameters (Å, degrees): 11.087 11.354 6.095 90.00 113.75 90.00
Space group C2/m (No. 12)
Symmetry-distinct sites (fractional):
1 Y 0.000 0.213 0.000 (multiplicity 4)
2 Er 0.000 0.000 0.500 (multiplicity 2)
3 Er 0.173 0.238 0.672 (multiplicity 8)
4 Er 0.241 0.000 0.077 (multiplicity 4)
5 Th 0.086 0.500 0.310 (multiplicity 4)

Properties
- density (Mg/m³) = 8.57
- magnetization (μB per formula unit) = 0.000
- relative energy among the computed polymorphs (eV per formula unit) = 0.00
- uncorrected energy (eV/cell) = -115.45
- DOS(E_F) (states/eV/atom) = 1.592

[2]
Density functional theory data (PBE-GGA) for an optimized crystal structure of Pr5Al2Ga.

Lattice parameters (Å, degrees): 7.994 7.994 14.826 90.00 90.00 90.00
Space group I4/mcm (No. 140)
Symmetry-distinct sites (fractional):
1 Pr 0.000 0.000 0.000 (multiplicity 4)
2 Pr 0.174 0.326 0.151 (multiplicity 16)
3 Al 0.116 0.384 0.500 (multiplicity 8)
4 Ga 0.000 0.000 0.250 (multiplicity 4)

Properties
- density (Mg/m³) = 5.81
- magnetization (μB per formula unit) = 0.000
- uncorrected energy (eV/cell) = -147.44
- DOS(E_F) (states/eV/atom) = 1.094

[3]
Density functional theory data (PBE-GGA) for an optimized crystal structure of RbCa2As2.

Lattice parameters (Å, degrees): 8.832 8.832 3.489 90.00 90.00 90.00
Space group P4/mbm (No. 127)
Symmetry-distinct sites (fractional):
1 Rb 0.000 0.000 0.000 (multiplicity 2)
2 Ca 0.132 0.368 0.000 (multiplicity 4)
3 As 0.164 0.664 0.500 (multiplicity 4)

Properties
- density (Mg/m³) = 3.85
- magnetization (μB per formula unit) = 0.000
- relative energy among the computed polymorphs (eV per formula unit) = 0.00
- uncorrected energy (eV/cell) = -36.58
- DOS(E_F) (states/eV/atom) = 0.134